# 1
Computed, not measured: a geometry-optimized La3Ge2OsC structure at the PBE level of DFT.

Cell: 9.061 9.061 9.061 Å, 154.92 146.85 42.01°
Positions (direct):
La 0.000 0.000 0.000
La 0.341 0.841 0.500
La 0.659 0.159 0.500
Ge 0.156 0.656 0.500
Ge 0.844 0.344 0.500
Os 0.500 0.500 0.000
C 0.500 0.000 0.500

**Crystal system**: orthorhombic
**Electronic total energy**: -47.2 eV per cell
**DFT formation energy**: -2.763 eV per formula unit
**M_tot**: 0.00 μB/atom
**SG**: Immm

=====

# 2
Computed, not measured: a geometry-optimized La2GeOsC structure at the PBE level of DFT.

Cell: 5.307 5.307 3.942 Å, 90.00 90.00 90.00°
Positions (direct):
La 0.000 0.500 0.000
La 0.500 0.000 0.000
Ge 0.000 0.000 0.500
Os 0.500 0.500 0.500
C 0.500 0.500 0.000

**Crystal system**: tetragonal
**Electronic total energy**: -36.6 eV per cell
**DFT formation energy**: -1.693 eV per formula unit
**M_tot**: 0.00 μB/atom
**SG**: P4/mmm
**Offset from the most stable computed form**: 37 meV/atom